Model a:
SrDy2: optimized geometry, PBE-GGA.

Lattice parameters (Å, degrees): 3.720 3.720 8.454 102.71 102.71 90.00
Atoms (fractional coordinates):
Sr 0.000 0.000 0.000
Dy 0.681 0.681 0.361
Dy 0.319 0.319 0.639

Summary:
crystal system: tetragonal



Model b:
SrDy2: optimized geometry, PBE-GGA.

Lattice parameters (Å, degrees): 6.918 6.918 6.918 60.00 60.00 60.00
Atoms (fractional coordinates):
Sr 0.000 0.000 0.000
Sr 0.250 0.250 0.250
Dy 0.125 0.625 0.625
Dy 0.625 0.125 0.625
Dy 0.625 0.625 0.625
Dy 0.625 0.625 0.125

Summary:
crystal system: cubic



Energy ordering: model a at the bottom, the next structure 0.095 eV/atom above.



Model a:
Sr3Dy: optimized geometry, PBE-GGA.

Lattice parameters (Å, degrees): 4.341 6.458 7.554 115.31 106.70 90.00
Atoms (fractional coordinates):
Sr 0.263 0.679 0.527
Sr 0.500 0.418 0.000
Sr 0.737 0.152 0.473
Dy 0.000 0.918 0.000

Summary:
crystal system: orthorhombic



Model b:
Sr3Dy: optimized geometry, PBE-GGA.

Lattice parameters (Å, degrees): 6.351 6.351 6.351 60.00 60.00 60.00
Atoms (fractional coordinates):
Sr 0.000 0.000 0.000
Sr 0.750 0.750 0.750
Sr 0.250 0.250 0.250
Dy 0.500 0.500 0.500

Summary:
crystal system: cubic



Energy ordering: model a at the bottom, the next structure 0.014 eV/atom above.



Model a:
Sr3Dy: optimized geometry, PBE-GGA.

Lattice parameters (Å, degrees): 3.918 3.773 12.808 90.00 90.00 90.00
Atoms (fractional coordinates):
Sr 0.000 0.500 0.464
Sr 0.500 0.500 0.182
Sr 0.500 0.000 0.720
Dy 0.000 0.000 0.968

Summary:
crystal system: orthorhombic



Model b:
Sr3Dy: optimized geometry, PBE-GGA.

Lattice parameters (Å, degrees): 8.087 8.087 6.550 90.00 90.00 120.00
Atoms (fractional coordinates):
Sr 0.172 0.344 0.250
Sr 0.656 0.828 0.250
Sr 0.172 0.828 0.250
Sr 0.828 0.656 0.750
Sr 0.344 0.172 0.750
Sr 0.828 0.172 0.750
Dy 0.333 0.667 0.750
Dy 0.667 0.333 0.250

Summary:
crystal system: hexagonal



Energy ordering: model b at the bottom, the next structure 0.079 eV/atom above.



Model a:
SrDy3: optimized geometry, PBE-GGA.

Lattice parameters (Å, degrees): 6.355 6.355 6.355 131.77 131.77 70.59
Atoms (fractional coordinates):
Sr 0.000 0.000 0.000
Dy 0.750 0.250 0.500
Dy 0.250 0.750 0.500
Dy 0.500 0.500 0.000

Summary:
crystal system: tetragonal



Model b:
SrDy3: optimized geometry, PBE-GGA.

Lattice parameters (Å, degrees): 3.693 6.455 6.991 117.50 105.31 90.00
Atoms (fractional coordinates):
Sr 0.000 0.993 0.000
Dy 0.237 0.574 0.473
Dy 0.500 0.498 0.000
Dy 0.763 0.101 0.527

Summary:
crystal system: orthorhombic



Energy ordering: model b at the bottom, the next structure 0.041 eV/atom above.



Model a:
SrTb2Dy: optimized geometry, PBE-GGA.

Lattice parameters (Å, degrees): 3.673 3.673 12.339 81.44 81.44 60.00
Atoms (fractional coordinates):
Sr 0.501 0.501 0.498
Tb 0.077 0.077 0.770
Tb 0.256 0.256 0.231
Dy 0.666 0.666 0.001

Summary:
crystal system: trigonal



Model b:
SrTb2Dy: optimized geometry, PBE-GGA.

Lattice parameters (Å, degrees): 3.608 3.608 12.966 82.00 82.00 60.00
Atoms (fractional coordinates):
Sr 0.000 0.000 0.000
Tb 0.093 0.093 0.721
Tb 0.907 0.907 0.279
Dy 0.500 0.500 0.500

Summary:
crystal system: trigonal



Energy ordering: model a at the bottom, the next structure 0.093 eV/atom above.



Model a:
SrDy2Tc: optimized geometry, PBE-GGA.

Lattice parameters (Å, degrees): 3.616 3.616 11.229 80.73 80.73 60.00
Atoms (fractional coordinates):
Sr 0.000 0.000 0.000
Tc 0.500 0.500 0.500
Dy 0.109 0.109 0.673
Dy 0.891 0.891 0.327

Summary:
crystal system: trigonal



Model b:
SrDy2Tc: optimized geometry, PBE-GGA.

Lattice parameters (Å, degrees): 3.523 3.523 9.679 90.00 90.00 90.00
Atoms (fractional coordinates):
Sr 0.500 0.500 0.500
Tc 0.500 0.500 0.000
Dy 0.000 0.000 0.834
Dy 0.000 0.000 0.166

Summary:
crystal system: tetragonal



Energy ordering: model b at the bottom, the next structure 0.262 eV/atom above.



Model a:
SrDyTe2: optimized geometry, PBE-GGA.

Lattice parameters (Å, degrees): 4.406 4.406 8.301 74.61 74.61 60.00
Atoms (fractional coordinates):
Sr 0.497 0.497 0.510
Dy 0.669 0.669 0.992
Te 0.076 0.076 0.772
Te 0.258 0.258 0.226

Summary:
crystal system: trigonal



Model b:
SrDyTe2: optimized geometry, PBE-GGA.

Lattice parameters (Å, degrees): 4.483 4.483 7.974 73.67 73.67 60.00
Atoms (fractional coordinates):
Sr 0.500 0.500 0.500
Dy 0.000 0.000 0.000
Te 0.256 0.256 0.231
Te 0.744 0.744 0.769

Summary:
crystal system: trigonal



Energy ordering: model b at the bottom, the next structure 0.049 eV/atom above.



Model a:
SrDy2Tl: optimized geometry, PBE-GGA.

Lattice parameters (Å, degrees): 3.721 3.721 9.897 90.00 90.00 90.00
Atoms (fractional coordinates):
Sr 0.500 0.500 0.500
Tl 0.500 0.500 0.000
Dy 0.000 0.000 0.803
Dy 0.000 0.000 0.197

Summary:
crystal system: tetragonal



Model b:
SrDy2Tl: optimized geometry, PBE-GGA.

Lattice parameters (Å, degrees): 3.703 3.703 12.162 81.24 81.24 60.00
Atoms (fractional coordinates):
Sr 0.000 0.000 0.000
Tl 0.500 0.500 0.500
Dy 0.100 0.100 0.701
Dy 0.900 0.900 0.299

Summary:
crystal system: trigonal



Energy ordering: model a at the bottom, the next structure 0.173 eV/atom above.



Model a:
SrDy2Tl: optimized geometry, PBE-GGA.

Lattice parameters (Å, degrees): 5.005 5.017 5.017 90.00 90.00 90.00
Atoms (fractional coordinates):
Sr 0.500 0.500 0.500
Tl 0.500 0.000 0.000
Dy 0.000 0.000 0.500
Dy 0.000 0.500 0.000

Summary:
crystal system: tetragonal



Model b:
SrDy2Tl: optimized geometry, PBE-GGA.

Lattice parameters (Å, degrees): 5.250 5.250 6.857 67.49 67.49 60.00
Atoms (fractional coordinates):
Sr 0.490 0.490 0.529
Dy 0.044 0.044 0.867
Dy 0.279 0.279 0.162
Tl 0.686 0.686 0.941

Summary:
crystal system: trigonal



Energy ordering: model a at the bottom, the next structure 0.123 eV/atom above.



Model a:
SrDy2Tm: optimized geometry, PBE-GGA.

Lattice parameters (Å, degrees): 3.996 3.996 9.160 90.00 90.00 90.00
Atoms (fractional coordinates):
Sr 0.500 0.500 0.500
Tm 0.500 0.500 0.000
Dy 0.000 0.000 0.798
Dy 0.000 0.000 0.202

Summary:
crystal system: tetragonal



Model b:
SrDy2Tm: optimized geometry, PBE-GGA.

Lattice parameters (Å, degrees): 3.652 3.652 12.247 81.43 81.43 60.00
Atoms (fractional coordinates):
Sr 0.500 0.500 0.499
Dy 0.076 0.076 0.771
Dy 0.257 0.257 0.229
Tm 0.666 0.666 0.001

Summary:
crystal system: trigonal



Model c:
SrDy2Tm: optimized geometry, PBE-GGA.

Lattice parameters (Å, degrees): 3.584 3.584 12.885 82.01 82.01 60.00
Atoms (fractional coordinates):
Sr 0.000 0.000 0.000
Tm 0.500 0.500 0.500
Dy 0.094 0.094 0.719
Dy 0.906 0.906 0.281

Summary:
crystal system: trigonal



Energy ordering: model b at the bottom, the next structure 0.016 eV/atom above.



Model a:
SrDyTm2: optimized geometry, PBE-GGA.

Lattice parameters (Å, degrees): 3.647 3.647 10.493 90.00 90.00 90.00
Atoms (fractional coordinates):
Sr 0.500 0.500 0.500
Tm 0.000 0.000 0.781
Tm 0.000 0.000 0.219
Dy 0.500 0.500 0.000

Summary:
crystal system: tetragonal



Model b:
SrDyTm2: optimized geometry, PBE-GGA.

Lattice parameters (Å, degrees): 3.571 3.571 12.818 81.99 81.99 60.00
Atoms (fractional coordinates):
Sr 0.000 0.000 0.000
Tm 0.093 0.093 0.720
Tm 0.907 0.907 0.280
Dy 0.500 0.500 0.500

Summary:
crystal system: trigonal



Energy ordering: model a at the bottom, the next structure 0.103 eV/atom above.



Model a:
SrDyZn4: optimized geometry, PBE-GGA.

Lattice parameters (Å, degrees): 5.609 5.609 5.609 60.00 60.00 60.00
Atoms (fractional coordinates):
Sr 0.250 0.250 0.250
Zn 0.627 0.627 0.120
Zn 0.627 0.120 0.627
Zn 0.627 0.627 0.627
Zn 0.120 0.627 0.627
Dy 0.000 0.000 0.000

Summary:
crystal system: cubic



Model b:
SrDyZn4: optimized geometry, PBE-GGA.

Lattice parameters (Å, degrees): 4.239 4.239 8.327 104.74 104.74 90.00
Atoms (fractional coordinates):
Sr 0.250 0.750 0.500
Dy 0.000 0.000 0.000
Zn 0.663 0.163 0.325
Zn 0.579 0.579 0.158
Zn 0.837 0.337 0.675
Zn 0.421 0.421 0.842

Summary:
crystal system: tetragonal



Energy ordering: model b at the bottom, the next structure 0.035 eV/atom above.



Model a:
SrDy2Zn: optimized geometry, PBE-GGA.

Lattice parameters (Å, degrees): 3.682 3.682 11.520 80.80 80.80 60.00
Atoms (fractional coordinates):
Sr 0.000 0.000 0.000
Zn 0.500 0.500 0.500
Dy 0.106 0.106 0.683
Dy 0.894 0.894 0.317

Summary:
crystal system: trigonal



Model b:
SrDy2Zn: optimized geometry, PBE-GGA.

Lattice parameters (Å, degrees): 3.666 3.666 9.388 90.00 90.00 90.00
Atoms (fractional coordinates):
Sr 0.500 0.500 0.500
Zn 0.500 0.500 0.000
Dy 0.000 0.000 0.822
Dy 0.000 0.000 0.178

Summary:
crystal system: tetragonal



Energy ordering: model b at the bottom, the next structure 0.222 eV/atom above.



Model a:
DyZr2Ta: optimized geometry, PBE-GGA.

Lattice parameters (Å, degrees): 3.610 3.610 7.284 90.00 90.00 90.00
Atoms (fractional coordinates):
Dy 0.500 0.500 0.500
Zr 0.000 0.000 0.795
Zr 0.000 0.000 0.205
Ta 0.500 0.500 0.000

Summary:
crystal system: tetragonal



Model b:
DyZr2Ta: optimized geometry, PBE-GGA.

Lattice parameters (Å, degrees): 3.168 3.168 11.211 81.88 81.88 60.00
Atoms (fractional coordinates):
Dy 0.000 0.000 0.000
Zr 0.095 0.095 0.716
Zr 0.905 0.905 0.284
Ta 0.500 0.500 0.500

Summary:
crystal system: trigonal



Energy ordering: model a at the bottom, the next structure 0.182 eV/atom above.